# 1
# TeAsSe PBE optimized geometry
data_TeAsSe
_chemical_formula_sum 'Te1 As1 Se1'
_cell_length_a 4.1188
_cell_length_b 4.1188
_cell_length_c 5.1509
_cell_angle_alpha 90.00
_cell_angle_beta 90.00
_cell_angle_gamma 120.00
_space_group_name_H-M_alt 'P 3 m 1'
_space_group_IT_number 156
loop_
_space_group_symop_operation_xyz
'x,y,z'
'-y,x-y,z'
'-x+y,-x,z'
'-y,-x,z'
'-x+y,y,z'
'x,x-y,z'
loop_
_atom_site_label
_atom_site_type_symbol
_atom_site_fract_x
_atom_site_fract_y
_atom_site_fract_z
_atom_site_occupancy
Te1 Te 0.0000 0.0000 0.0000 1
As1 As 0.3333 0.6667 0.3159 1
Se1 Se 0.6667 0.3333 0.6103 1
# E_tot ... -11.1 eV/cell
# Calculated volume ... 25.23 Å³ per atom
# Energy relative to the elements, uncorrected ... 0.13 eV per formula unit

***

# 2
# TeAsSe2 PBE optimized geometry
data_TeAsSe2
_chemical_formula_sum 'Te2 As2 Se4'
_cell_length_a 5.858
_cell_length_b 6.287
_cell_length_c 9.891
_cell_angle_alpha 91.48
_cell_angle_beta 95.14
_cell_angle_gamma 114.13
_space_group_name_H-M_alt 'P 1'
_space_group_IT_number 1
loop_
_space_group_symop_operation_xyz
'x,y,z'
loop_
_atom_site_label
_atom_site_type_symbol
_atom_site_fract_x
_atom_site_fract_y
_atom_site_fract_z
_atom_site_occupancy
Te1 Te 0.000 0.000 0.000 1
Te2 Te 0.090 0.455 0.074 1
As1 As 0.155 0.419 0.456 1
As2 As 0.741 0.919 0.626 1
Se1 Se 0.337 0.842 0.498 1
Se2 Se 0.583 0.858 0.849 1
Se3 Se 0.837 0.410 0.278 1
Se4 Se 0.878 0.342 0.636 1
# E_tot ... -29.9 eV/cell
# Calculated volume ... 41.29 Å³ per atom
# Energy relative to the elements, uncorrected ... -0.20 eV per formula unit

***

# 3
# TeAsSe PBE optimized geometry
data_TeAsSe
_chemical_formula_sum 'Te4 As4 Se4'
_cell_length_a 11.303
_cell_length_b 3.898
_cell_length_c 8.998
_cell_angle_alpha 90.00
_cell_angle_beta 121.65
_cell_angle_gamma 90.00
_space_group_name_H-M_alt 'C 1 2/m 1'
_space_group_IT_number 12
loop_
_space_group_symop_operation_xyz
'x,y,z'
'-x,-y,-z'
'-x,y,-z'
'x,-y,z'
'x+1/2,y+1/2,z'
'-x+1/2,-y+1/2,-z'
'-x+1/2,y+1/2,-z'
'x+1/2,-y+1/2,z'
loop_
_atom_site_label
_atom_site_type_symbol
_atom_site_fract_x
_atom_site_fract_y
_atom_site_fract_z
_atom_site_occupancy
Te1 Te 0.246 0.000 0.211 1
As1 As 0.043 0.000 0.665 1
Se1 Se 0.095 0.500 0.279 1
# E_tot ... -43.7 eV/cell
# Calculated volume ... 28.12 Å³ per atom
# Energy relative to the elements, uncorrected ... 0.36 eV per formula unit